Model A:
This record from Alexandria via LeMat-Bulk describes Pm3Pr2Y7 after structural relaxation. The functional is GGA-PBE.

## Properties
M_tot   0.0003 μB/atom

Geometry as POSCAR:
```
Pm3Pr2Y7
1.0
2.9648 -19.0095 0.0000
2.9648 19.0095 0.0000
0.0000 0.0000 3.6421
Pm Pr Y
3 2 7
Direct
0.0000 0.0000 0.0000 Pm
0.1489 0.8511 0.0000 Pm
0.8511 0.1489 0.0000 Pm
0.3251 0.6749 0.5000 Pr
0.6749 0.3251 0.5000 Pr
0.0725 0.9275 0.5000 Y
0.2285 0.7715 0.5000 Y
0.4127 0.5873 0.0000 Y
0.5000 0.5000 0.5000 Y
0.5873 0.4127 0.0000 Y
0.7715 0.2285 0.5000 Y
0.9275 0.0725 0.5000 Y
```



Model B:
This record from Alexandria via LeMat-Bulk describes Pm3Pr2Y7 after structural relaxation. The functional is GGA-PBE.

## Properties
M_tot   0.0000 μB/atom

Geometry as POSCAR:
```
Pm3Pr2Y7
1.0
5.8979 0.0000 0.0000
0.0000 3.6178 0.0000
-1.1095 0.0000 18.9973
Pm Pr Y
3 2 7
Direct
0.0000 0.0000 0.0000 Pm
0.2752 0.5000 0.6315 Pm
0.7248 0.5000 0.3685 Pm
0.2112 0.0000 0.2928 Pr
0.7888 0.0000 0.7072 Pr
0.1885 0.5000 0.1419 Y
0.2425 0.0000 0.4619 Y
0.3084 0.0000 0.8266 Y
0.5000 0.5000 0.0000 Y
0.6916 0.0000 0.1734 Y
0.7575 0.0000 0.5381 Y
0.8115 0.5000 0.8581 Y
```



Energies, relative to the best one, in kJ/mol of atoms: model A 7.5; model B 0.0.



Model A:
This record from Alexandria via LeMat-Bulk describes Pm5Pr3Y4 after structural relaxation. The functional is GGA-PBE.

## Properties
M_tot   0.0000 μB/atom

Geometry as POSCAR:
```
Pm5Pr3Y4
1.0
8.1553 -3.0291 0.0000
8.1553 3.0291 0.0000
-4.1844 0.0000 8.4408
Pm Pr Y
5 3 4
Direct
0.0000 0.0000 0.0000 Pm
0.3275 0.3275 0.6151 Pm
0.4244 0.4244 0.3015 Pm
0.5756 0.5756 0.6985 Pm
0.6725 0.6725 0.3849 Pm
0.2089 0.2089 0.2303 Pr
0.5000 0.5000 0.0000 Pr
0.7911 0.7911 0.7697 Pr
0.0811 0.0811 0.4401 Y
0.2099 0.2099 0.8764 Y
0.7901 0.7901 0.1236 Y
0.9189 0.9189 0.5599 Y
```



Model B:
This record from Alexandria via LeMat-Bulk describes Pm5Pr3Y4 after structural relaxation. The functional is GGA-PBE.

## Properties
M_tot   0.0000 μB/atom

Geometry as POSCAR:
```
Pm5Pr3Y4
1.0
6.3089 0.0000 0.0000
0.0011 7.2730 0.0000
0.0001 0.0068 8.9174
Pm Pr Y
5 3 4
Direct
0.0000 0.0000 0.0000 Pm
0.3343 0.4996 0.3343 Pm
0.4995 0.2483 0.0002 Pm
0.5005 0.7517 0.9998 Pm
0.6657 0.5004 0.6657 Pm
0.0000 0.5000 0.0000 Pr
0.1666 0.7507 0.6656 Pr
0.8334 0.2493 0.3344 Pr
0.1676 0.2481 0.6656 Y
0.3336 0.9997 0.3341 Y
0.6664 0.0003 0.6659 Y
0.8324 0.7519 0.3344 Y
```



Energies, relative to the best one, in kJ/mol of atoms: model A 19.0; model B 0.0.



Model A:
This record from Alexandria via LeMat-Bulk describes PmPr4Y7 after structural relaxation. The functional is GGA-PBE.

## Properties
M_tot   0.0001 μB/atom

Geometry as POSCAR:
```
PmPr4Y7
1.0
6.1221 -2.9789 0.0000
6.1221 2.9789 0.0000
-5.9445 0.0000 11.5203
Pm Pr Y
1 4 7
Direct
0.0000 0.0000 0.0000 Pm
0.2190 0.2190 0.6642 Pr
0.3622 0.3622 0.2232 Pr
0.6378 0.6378 0.7768 Pr
0.7810 0.7810 0.3358 Pr
0.0709 0.0709 0.3107 Y
0.2102 0.2102 0.9227 Y
0.3671 0.3671 0.5052 Y
0.5000 0.5000 0.0000 Y
0.6329 0.6329 0.4948 Y
0.7898 0.7898 0.0773 Y
0.9291 0.9291 0.6893 Y
```



Model B:
This record from Alexandria via LeMat-Bulk describes PmPr4Y7 after structural relaxation. The functional is GGA-PBE.

## Properties
M_tot   0.0000 μB/atom

Geometry as POSCAR:
```
PmPr4Y7
1.0
6.6431 0.0000 0.0000
0.9875 6.8675 0.0000
2.0407 0.4953 8.9500
Pm Pr Y
1 4 7
Direct
0.0000 0.0000 0.0000 Pm
0.1651 0.6156 0.3069 Pr
0.3593 0.1831 0.7156 Pr
0.6407 0.8169 0.2844 Pr
0.8349 0.3844 0.6931 Pr
0.0000 0.5000 0.0000 Y
0.1826 0.1081 0.3797 Y
0.3257 0.6899 0.6396 Y
0.4898 0.2494 0.0473 Y
0.5102 0.7506 0.9527 Y
0.6743 0.3101 0.3604 Y
0.8174 0.8919 0.6203 Y
```



Energies, relative to the best one, in kJ/mol of atoms: model A 16.8; model B 0.0.



Model A:
This record from Alexandria via LeMat-Bulk describes Pm4Pr3Y5 after structural relaxation. The functional is GGA-PBE.

## Properties
M_tot   0.0144 μB/atom

Geometry as POSCAR:
```
Pm4Pr3Y5
1.0
8.1474 -3.0172 0.0000
8.1474 3.0172 0.0000
-4.1655 0.0000 8.4617
Pm Pr Y
4 3 5
Direct
0.0838 0.0838 0.4455 Pm
0.2105 0.2105 0.8811 Pm
0.7895 0.7895 0.1189 Pm
0.9162 0.9162 0.5545 Pm
0.2100 0.2100 0.2324 Pr
0.5000 0.5000 0.0000 Pr
0.7900 0.7900 0.7676 Pr
0.0000 0.0000 0.0000 Y
0.3288 0.3288 0.6132 Y
0.4277 0.4277 0.3008 Y
0.5723 0.5723 0.6992 Y
0.6712 0.6712 0.3868 Y
```



Model B:
This record from Alexandria via LeMat-Bulk describes Pm4Pr3Y5 after structural relaxation. The functional is GGA-PBE.

## Properties
M_tot   0.0000 μB/atom

Geometry as POSCAR:
```
Pm4Pr3Y5
1.0
6.2939 0.0000 0.0000
-0.0241 7.2630 0.0000
-0.0279 -0.0115 8.8977
Pm Pr Y
4 3 5
Direct
0.1682 0.9997 0.1671 Pm
0.3320 0.2492 0.8320 Pm
0.6680 0.7508 0.1680 Pm
0.8318 0.0003 0.8329 Pm
0.3330 0.7500 0.8325 Pr
0.5000 0.5000 0.5000 Pr
0.6670 0.2500 0.1675 Pr
0.0007 0.2502 0.5001 Y
0.1664 0.5001 0.1684 Y
0.5000 0.0000 0.5000 Y
0.8336 0.4999 0.8316 Y
0.9993 0.7498 0.4999 Y
```



Energies, relative to the best one, in kJ/mol of atoms: model A 19.4; model B 0.0.



Model A:
This record from Alexandria via LeMat-Bulk describes PmPr3Y2 after structural relaxation. The functional is GGA-PBE.

## Properties
M_tot   0.0000 μB/atom

Geometry as POSCAR:
```
PmPr3Y2
1.0
6.2920 0.0000 0.0000
1.0654 6.2545 0.0000
2.1430 2.8487 5.2552
Pm Pr Y
1 3 2
Direct
0.0000 0.0000 0.0000 Pm
0.5000 0.0000 0.5000 Pr
0.5000 0.3327 0.8337 Pr
0.5000 0.6673 0.1663 Pr
0.0000 0.3337 0.3331 Y
0.0000 0.6663 0.6669 Y
```



Model B:
This record from Alexandria via LeMat-Bulk describes PmPr3Y2 after structural relaxation. The functional is GGA-PBE.

## Properties
M_tot   0.0000 μB/atom

Geometry as POSCAR:
```
PmPr3Y2
1.0
4.6081 -5.0186 0.0000
4.6081 5.0186 0.0000
-2.0108 0.0000 8.9597
Pm Pr Y
2 6 4
Direct
0.1055 0.8945 0.7500 Pm
0.8945 0.1055 0.2500 Pm
0.1477 0.3145 0.9839 Pr
0.3145 0.1477 0.4839 Pr
0.4364 0.5636 0.7500 Pr
0.5636 0.4364 0.2500 Pr
0.6855 0.8523 0.5161 Pr
0.8523 0.6855 0.0161 Pr
0.1206 0.6230 0.3781 Y
0.3770 0.8794 0.1219 Y
0.6230 0.1206 0.8781 Y
0.8794 0.3770 0.6219 Y
```



Energies, relative to the best one, in kJ/mol of atoms: model A 0.0; model B 3.8.



Model A:
This record from Alexandria via LeMat-Bulk describes Pm2PrY7 after structural relaxation. The functional is GGA-PBE.

## Properties
M_tot   0.0000 μB/atom

Geometry as POSCAR:
```
Pm2PrY7
1.0
4.3909 -8.1504 0.0000
4.3909 8.1504 0.0000
0.0000 0.0000 5.6018
Pm Pr Y
2 1 7
Direct
0.2026 0.7974 0.0000 Pm
0.7974 0.2026 0.0000 Pm
0.5000 0.5000 0.5000 Pr
0.0000 0.0000 0.0000 Y
0.2076 0.4374 0.0000 Y
0.2804 0.7196 0.5000 Y
0.4374 0.2076 0.0000 Y
0.5626 0.7924 0.0000 Y
0.7196 0.2804 0.5000 Y
0.7924 0.5626 0.0000 Y
```



Model B:
This record from Alexandria via LeMat-Bulk describes Pm2PrY7 after structural relaxation. The functional is GGA-PBE.

## Properties
M_tot   0.0000 μB/atom

Geometry as POSCAR:
```
Pm2PrY7
1.0
6.2274 0.0000 0.0000
2.0580 6.9119 0.0000
2.0519 1.2370 7.6616
Pm Pr Y
2 1 7
Direct
0.1984 0.3004 0.1004 Pm
0.8016 0.6996 0.8996 Pm
0.0000 0.0000 0.5000 Pr
0.0000 0.5000 0.5000 Y
0.2004 0.7993 0.1006 Y
0.3999 0.5997 0.7010 Y
0.4007 0.0998 0.7002 Y
0.5993 0.9002 0.2998 Y
0.6001 0.4003 0.2990 Y
0.7996 0.2007 0.8994 Y
```



Energies, relative to the best one, in kJ/mol of atoms: model A 64.5; model B 0.0.



Model A:
This record from Alexandria via LeMat-Bulk describes PmPrYZn after structural relaxation. The functional is GGA-PBE.

## Properties
M_tot   0.0011 μB/atom

Geometry as POSCAR:
```
PmPrYZn
1.0
0.0000 3.8610 3.8610
3.8610 0.0000 3.8610
3.8610 3.8610 0.0000
Pm Pr Y Zn
1 1 1 1
Direct
0.0000 0.0000 0.0000 Pm
0.2500 0.2500 0.2500 Pr
0.7500 0.7500 0.7500 Y
0.5000 0.5000 0.5000 Zn
```



Model B:
This record from Alexandria via LeMat-Bulk describes PmPrYZn after structural relaxation. The functional is GGA-PBE.

## Properties
M_tot   0.0000 μB/atom

Geometry as POSCAR:
```
PmPrYZn
1.0
3.6414 0.0000 0.0000
0.0000 3.6414 0.0000
0.0000 0.0000 8.8337
Pm Pr Y Zn
1 1 1 1
Direct
0.0000 0.0000 0.0000 Pm
0.5000 0.5000 0.3001 Pr
0.0000 0.0000 0.5944 Y
0.5000 0.5000 0.7869 Zn
```



Energies, relative to the best one, in kJ/mol of atoms: model A 22.6; model B 0.0.



Model A:
This record from Alexandria via LeMat-Bulk describes Pm4PrZn after structural relaxation. The functional is GGA-PBE.

## Properties
M_tot   0.0000 μB/atom

Geometry as POSCAR:
```
Pm4PrZn
1.0
3.6701 0.0000 0.0000
0.0000 3.6701 0.0000
0.0000 0.0000 14.0145
Pm Pr Zn
4 1 1
Direct
0.0000 0.0000 0.1287 Pm
0.0000 0.0000 0.8713 Pm
0.5000 0.5000 0.3143 Pm
0.5000 0.5000 0.6857 Pm
0.0000 0.0000 0.5000 Pr
0.5000 0.5000 0.0000 Zn
```



Model B:
This record from Alexandria via LeMat-Bulk describes Pm4PrZn after structural relaxation. The functional is GGA-PBE.

## Properties
M_tot   0.0000 μB/atom

Geometry as POSCAR:
```
Pm4PrZn
1.0
3.6838 0.0000 0.0000
0.0020 5.3875 0.0000
0.0137 0.0057 9.5612
Pm Pr Zn
4 1 1
Direct
0.0000 0.0000 0.0000 Pm
0.0004 0.4995 0.5943 Pm
0.4996 0.9991 0.3876 Pm
0.5012 0.5004 0.8916 Pm
0.0004 0.4993 0.2302 Pr
0.5009 0.0009 0.7191 Zn
```



Energies, relative to the best one, in kJ/mol of atoms: model A 0.0; model B 9.7.